[1]
Compound: Tb3Er12Al
Source: Alexandria via LeMat-Bulk
Functional: PBE
Structure: relaxed

It has space group P4/mmm (No. 123), with a = 4.898 Å, b = 4.898 Å, c = 19.832 Å, α = 90.00°, β = 90.00° and γ = 90.00°. The distinct sites, in fractional coordinates, are Tb at (0.000, 0.000, 0.000), Tb at (0.000, 0.000, 0.254), Er at (0.000, 0.500, 0.128), Er at (0.000, 0.500, 0.383), Er at (0.500, 0.500, 0.000), Er at (0.500, 0.500, 0.258), Er at (0.500, 0.500, 0.500) and Al at (0.000, 0.000, 0.500).

The calculation puts the formation energy at -0.019 eV per atom. The calculation puts the size of the total moment at 0.0 μB/cell. The density of states at the Fermi level is 19.1 states/eV/cell.

***

[2]
Compound: KCaBe
Source: Alexandria via LeMat-Bulk
Functional: PBE
Structure: relaxed

It has space group I4mm (No. 107), with a = 3.762 Å, b = 3.762 Å, c = 14.723 Å, α = 90.00°, β = 90.00° and γ = 90.00°. The distinct sites, in fractional coordinates, are K at (0.000, 0.000, 0.000), Ca at (0.000, 0.000, 0.255) and Be at (0.000, 0.000, 0.661).

The calculation puts the formation energy at 0.563 eV per atom. The calculation puts the size of the total moment at 0.0 μB/cell. The density of states at the Fermi level is 7.2 states/eV/cell.

***

[3]
Compound: HfMnCl3
Source: Alexandria via LeMat-Bulk
Functional: PBE
Structure: relaxed

It has space group Pm-3m (No. 221), with a = 4.537 Å, b = 4.537 Å, c = 4.537 Å, α = 90.00°, β = 90.00° and γ = 90.00°. The distinct sites, in fractional coordinates, are Hf at (0.000, 0.000, 0.000), Mn at (0.500, 0.500, 0.500) and Cl at (0.000, 0.500, 0.500).

The calculation puts the size of the total moment at 0.0 μB/cell. The calculation puts the uncorrected formation energy at 0.328 eV per atom. The density of states at the Fermi level is 9.0 states/eV/cell.

***

Q: Look up the size of the total moment of the third one.
A: 0.0 μB/cell